Entry 1:
Pd2PbN (PBE, relaxed); uncorrected energy = -4.711 eV/atom; DOS(E_F) = 0.590 states/eV per atom; ΔE_f (raw) = 0.8941 eV per atom; polymorph energy (0 for the lowest one) = 562 meV per atom
1.0
0.0000 3.1764 3.1764
3.1764 0.0000 3.1764
3.1764 3.1764 0.0000
Pd Pb N
2 1 1
Direct
0.2500 0.2500 0.2500
0.7500 0.7500 0.7500
0.0000 0.0000 0.0000
0.5000 0.5000 0.5000

Entry 2:
Te4PtPb (PBE, relaxed); uncorrected energy = -3.084 eV/atom; DOS(E_F) = 1.249 states/eV per atom; ΔE_f (raw) = 0.6351 eV per atom
1.0
0.0000 4.4361 4.4361
4.4361 0.0000 4.4361
4.4361 4.4361 0.0000
Te Pt Pb
4 1 1
Direct
0.3768 0.3768 0.3768
0.3768 0.3768 0.8697
0.3768 0.8697 0.3768
0.8697 0.3768 0.3768
0.7500 0.7500 0.7500
0.0000 0.0000 0.0000